# 1
{
  "formula": "SrBeAu3",
  "functional": "GGA-PBE",
  "state": "optimized geometry",
  "cell": [[4.699, 0.000, 0.000], [0.000, 4.699, 0.000], [0.000, 0.000, 4.699]],
  "species": ["Sr", "Be", "Au", "Au", "Au"],
  "fractional_positions": [[0.000, 0.000, 0.000], [0.500, 0.500, 0.500], [0.000, 0.500, 0.500], [0.500, 0.000, 0.500], [0.500, 0.500, 0.000]],
  "sg": "Pm-3m (221)",
  "dos_ef_per_ev_atom": 0.290,
  "delta_e_f_ev_per_atom": -0.468
}


# 2
{
  "formula": "Sr2BeAu",
  "functional": "GGA-PBE",
  "state": "optimized geometry",
  "cell": [[4.411, 0.000, 0.000], [0.000, 2.381, 5.585], [0.000, -2.381, 5.585]],
  "species": ["Sr", "Sr", "Be", "Au"],
  "fractional_positions": [[0.000, 0.000, 0.000], [0.500, 0.291, 0.291], [0.500, 0.610, 0.610], [0.000, 0.689, 0.689]],
  "sg": "Amm2 (38)",
  "dos_ef_per_ev_atom": 0.764,
  "delta_e_f_ev_per_atom": -0.251
}


# 3
{
  "formula": "Sr2Be3Au9",
  "functional": "GGA-PBE",
  "state": "optimized geometry",
  "cell": [[6.726, -3.879, 0.000], [6.726, 3.879, 0.000], [-4.416, 0.000, 10.028]],
  "species": ["Sr", "Sr", "Sr", "Sr", "Be", "Be", "Be", "Be", "Be", "Be", "Au", "Au", "Au", "Au", "Au", "Au", "Au", "Au", "Au", "Au", "Au", "Au", "Au", "Au", "Au", "Au", "Au", "Au"],
  "fractional_positions": [[0.084, 0.250, 0.250], [0.250, 0.084, 0.750], [0.750, 0.916, 0.250], [0.916, 0.750, 0.750], [0.000, 0.500, 0.000], [0.137, 0.681, 0.498], [0.319, 0.863, 0.002], [0.500, 0.000, 0.500], [0.681, 0.137, 0.998], [0.863, 0.319, 0.502], [0.028, 0.844, 0.058], [0.156, 0.972, 0.442], [0.194, 0.353, 0.558], [0.195, 0.585, 0.250], [0.319, 0.477, 0.934], [0.353, 0.194, 0.058], [0.360, 0.640, 0.750], [0.415, 0.805, 0.250], [0.477, 0.319, 0.434], [0.523, 0.681, 0.566], [0.585, 0.195, 0.750], [0.640, 0.360, 0.250], [0.647, 0.806, 0.942], [0.681, 0.523, 0.066], [0.805, 0.415, 0.750], [0.806, 0.647, 0.442], [0.844, 0.028, 0.558], [0.972, 0.156, 0.942]],
  "sg": "C2/c (15)",
  "dos_ef_per_ev_atom": 0.289,
  "delta_e_f_ev_per_atom": -0.315
}


# 4
{
  "formula": "SrBeAu4",
  "functional": "GGA-PBE",
  "state": "optimized geometry",
  "cell": [[3.296, -5.548, 0.000], [3.296, 5.548, 0.000], [-0.296, 0.000, 7.022]],
  "species": ["Sr", "Sr", "Be", "Be", "Au", "Au", "Au", "Au", "Au", "Au", "Au", "Au"],
  "fractional_positions": [[0.110, 0.890, 0.750], [0.890, 0.110, 0.250], [0.459, 0.541, 0.750], [0.541, 0.459, 0.250], [0.045, 0.365, 0.734], [0.360, 0.628, 0.051], [0.365, 0.045, 0.234], [0.372, 0.640, 0.449], [0.628, 0.360, 0.551], [0.635, 0.955, 0.766], [0.640, 0.372, 0.949], [0.955, 0.635, 0.266]],
  "sg": "C2/c (15)",
  "dos_ef_per_ev_atom": 0.302,
  "delta_e_f_ev_per_atom": -0.422
}